1.
VASP calculation (PBE-GGA) on crystalline ScIn2BiMo at its relaxed geometry.

Results
Energy of formation from the pure elements ... 0.97 eV/atom
Total magnetization ... 1.9 μB per formula unit

Lattice parameters (Å, degrees): 5.5300 4.7238 5.5300 90.00 90.00 90.00
Last column: nearest neighbours and their distance in Å.
Positions (direct):
Sc: 0.0000 0.0000 0.0000  2 Mo 2.36
Mo: 0.0000 0.5000 0.0000  2 Sc 2.36
Bi: 0.5000 0.5000 0.5000  8 In 3.64, 4 Mo 3.91
In: 0.0000 0.0000 0.5000  2 Sc 2.77
In: 0.5000 0.0000 0.0000  2 Sc 2.77

2.
VASP calculation (PBE-GGA) on crystalline YTa2In at its relaxed geometry.

Results
Energy of formation from the pure elements ... 0.42 eV/atom
Total magnetization ... 0.0 μB per formula unit

Lattice parameters (Å, degrees): 10.4914 10.4914 10.4914 17.08 17.08 17.08
Last column: nearest neighbours and their distance in Å.
Positions (direct):
In: 0.7500 0.7500 0.7500  6 Ta 3.06, 6 In 3.12
Ta: 0.0037 0.0037 0.0037  3 In 3.06, 6 Ta 3.12, 3 Y 3.24
Ta: 0.4963 0.4963 0.4963  3 In 3.06, 6 Ta 3.12, 3 Y 3.24
Y: 0.2500 0.2500 0.2500  6 Y 3.12, 6 Ta 3.24

3.
VASP calculation (PBE-GGA) on crystalline SrEuRhAu at its relaxed geometry.

Results
Energy of formation from the pure elements ... -0.46 eV/atom
Total magnetization ... 6.8 μB per formula unit

Lattice parameters (Å, degrees): 5.2061 5.2061 5.2061 60.00 60.00 60.00
Last column: nearest neighbours and their distance in Å.
Positions (direct):
Eu: 0.2500 0.2500 0.2500  4 Rh 3.19, 4 Au 3.19
Rh: 0.5000 0.5000 0.5000  4 Sr 3.19, 4 Eu 3.19
Au: 0.0000 0.0000 0.0000  4 Eu 3.19, 4 Sr 3.19
Sr: 0.7500 0.7500 0.7500  4 Rh 3.19, 4 Au 3.19

4.
VASP calculation (PBE-GGA) on crystalline Tm6GeTe3Pd2 at its relaxed geometry.

Results
Total magnetization ... 0.0 μB per formula unit
Energy ... -5.299 eV per atom

Lattice parameters (Å, degrees): 7.1563 7.1563 7.5534 99.16 99.16 120.14
Last column: nearest neighbours and their distance in Å.
Positions (direct):
Tm: 0.9285 0.5925 0.7830  2 Pd 2.83-2.84, 1 Ge 2.86, 3 Te 3.13-3.14
Tm: 0.7368 0.7368 0.2171  2 Pd 2.84, 1 Ge 2.86, 3 Te 3.12
Tm: 0.0715 0.4075 0.2170  2 Pd 2.83-2.84, 1 Ge 2.86, 3 Te 3.13-3.14
Tm: 0.5925 0.9285 0.7830  2 Pd 2.83-2.84, 1 Ge 2.86, 3 Te 3.13-3.14
Tm: 0.2632 0.2632 0.7829  2 Pd 2.84, 1 Ge 2.86, 3 Te 3.12
Tm: 0.4075 0.0715 0.2170  2 Pd 2.83-2.84, 1 Ge 2.86, 3 Te 3.13-3.14
Ge: 0.0000 0.0000 0.0000  6 Tm 2.86
Te: 0.1650 0.8350 0.5000  6 Tm 3.12-3.14
Te: 0.8350 0.1650 0.5000  6 Tm 3.12-3.14
Te: 0.5000 0.5000 0.5000  6 Tm 3.12-3.14
Pd: 0.3330 0.6670 0.0000  6 Tm 2.83-2.84
Pd: 0.6670 0.3330 0.0000  6 Tm 2.83-2.84

5.
VASP calculation (PBE-GGA) on crystalline NaInAg2 at its relaxed geometry.

Results
Energy of formation from the pure elements ... 0.14 eV/atom
Total magnetization ... 0.0 μB per formula unit

Lattice parameters (Å, degrees): 7.9354 7.9354 6.3617 51.41 51.41 90.00
Last column: nearest neighbours and their distance in Å.
Positions (direct):
Na: 0.5000 0.5000 0.0000  4 Ag 2.99, 2 In 3.00
Na: 0.2500 0.7500 0.5000  4 Ag 2.99, 2 In 3.00
Ag: 0.6415 0.1250 0.2500  2 In 2.82, 2 Na 2.99, 2 Ag 3.01
Ag: 0.1085 0.6250 0.2500  2 In 2.82, 2 Na 2.99, 2 Ag 3.01
Ag: 0.3750 0.3585 0.7500  2 In 2.82, 2 Na 2.99, 2 Ag 3.01
Ag: 0.8750 0.8915 0.7500  2 In 2.82, 2 Na 2.99, 2 Ag 3.01
In: 0.0000 0.0000 0.0000  4 Ag 2.82, 2 Na 3.00
In: 0.7500 0.2500 0.5000  4 Ag 2.82, 2 Na 3.00

6.
VASP calculation (PBE-GGA) on crystalline Na3U3MoN8 at its relaxed geometry.

Results
Total magnetization ... 2.6 μB per formula unit
Energy ... -8.522 eV per atom

Lattice parameters (Å, degrees): 6.7606 6.7612 6.9183 119.27 90.00 120.00
Last column: nearest neighbours and their distance in Å.
Positions (direct):
Na: 0.0000 0.0000 0.0000  6 N 2.63-2.67
Na: 0.0000 0.5000 0.0000  6 N 2.63-2.67
Na: 0.5000 0.5000 0.0000  6 N 2.63-2.67
U: 0.5000 0.0000 0.5000  6 N 2.22-2.24
U: 0.5000 0.5000 0.5000  6 N 2.22-2.24
U: 0.0000 0.5000 0.5000  6 N 2.22-2.24
Mo: 0.0000 0.0000 0.5000  6 N 2.15
N: 0.2695 0.5390 0.3089  3 U 2.24
N: 0.7305 0.4610 0.6911  3 U 2.24
N: 0.7788 0.5577 0.3244  1 Mo 2.15, 2 U 2.22
N: 0.2212 0.4423 0.6756  1 Mo 2.15, 2 U 2.22
N: 0.7788 0.0453 0.3243  1 Mo 2.15, 2 U 2.22
N: 0.2212 0.9547 0.6757  1 Mo 2.15, 2 U 2.22
N: 0.2665 0.0452 0.3243  1 Mo 2.15, 2 U 2.22
N: 0.7335 0.9548 0.6757  1 Mo 2.15, 2 U 2.22

7.
VASP calculation (PBE-GGA) on crystalline Ti2ZnCu at its relaxed geometry.

Results
Energy of formation from the pure elements ... -0.10 eV/atom
Total magnetization ... 0.9 μB per formula unit

Lattice parameters (Å, degrees): 3.0606 3.0606 6.4682 90.00 90.00 90.00
Last column: nearest neighbours and their distance in Å.
Positions (direct):
Zn: 0.5000 0.5000 0.5000  8 Ti 2.74, 4 Zn 3.06
Cu: 0.5000 0.5000 0.0000  8 Ti 2.67
Ti: 0.0000 0.0000 0.7588  4 Cu 2.67, 4 Zn 2.74
Ti: 0.0000 0.0000 0.2412  4 Cu 2.67, 4 Zn 2.74

8.
VASP calculation (PBE-GGA) on crystalline TbMgMn at its relaxed geometry.

Results
Energy of formation from the pure elements ... 0.08 eV/atom
Total magnetization ... 0.0 μB per formula unit

Lattice parameters (Å, degrees): 3.4749 5.4963 7.2859 102.92 103.80 90.00
Last column: nearest neighbours and their distance in Å.
Positions (direct):
Mn: 0.7628 0.1120 0.5255  2 Mn 2.11
Mn: 0.2372 0.8880 0.4745  2 Mn 2.11
Mg: 0.5760 0.7990 0.1520  3 Mn 2.80-2.82
Mg: 0.4240 0.2010 0.8480  3 Mn 2.80-2.82
Tb: 0.8610 0.6728 0.7220  4 Mn 2.91-3.08
Tb: 0.1390 0.3272 0.2780  4 Mn 2.91-3.08

9.
VASP calculation (PBE-GGA) on crystalline La8Pm3In at its relaxed geometry.

Results
Energy of formation from the pure elements ... 0.35 eV/atom
Total magnetization ... 0.0 μB per formula unit

Lattice parameters (Å, degrees): 8.5796 8.5796 8.5796 92.70 118.45 118.45
Last column: nearest neighbours and their distance in Å.
Positions (direct):
La: 0.5084 0.2645 0.2645  1 Pm 3.05, 1 In 3.16, 2 La 3.24-3.41
La: 0.4916 0.7561 0.7561  1 Pm 3.05, 1 In 3.16, 2 La 3.24-3.41
La: 0.0000 0.7355 0.2439  1 Pm 3.05, 1 In 3.16, 2 La 3.24-3.41
La: 0.0000 0.2439 0.7355  1 Pm 3.05, 1 In 3.16, 2 La 3.24-3.41
La: 0.2564 0.3781 0.3781  3 La 3.18-3.41, 1 In 3.36, 3 Pm 3.36-3.45
La: 0.7436 0.1216 0.1216  3 La 3.18-3.41, 1 In 3.36, 3 Pm 3.36-3.45
La: 0.0000 0.6219 0.8784  3 La 3.18-3.41, 1 In 3.36, 3 Pm 3.36-3.45
La: 0.0000 0.8784 0.6219  3 La 3.18-3.41, 1 In 3.36, 3 Pm 3.36-3.45
Pm: 0.5000 0.7500 0.2500  4 La 3.45
Pm: 0.5000 0.2500 0.7500  4 La 3.45
Pm: 0.0000 0.5000 0.5000  8 La 3.05-3.36
In: 0.0000 0.0000 0.0000  8 La 3.16-3.36

10.
VASP calculation (PBE-GGA) on crystalline SiAgPb2 at its relaxed geometry.

Results
Total magnetization ... 0.0 μB per formula unit
Energy ... -3.669 eV per atom

Lattice parameters (Å, degrees): 3.4387 3.4387 8.2451 90.00 90.00 89.99
Last column: nearest neighbours and their distance in Å.
Positions (direct):
Ag: 0.5000 0.5000 0.7017  4 Si 2.76
Pb: 0.0000 0.0000 0.9590  4 Ag 3.23, 1 Si 3.42, 4 Pb 3.44
Pb: 0.5000 0.5000 0.2950  4 Si 3.18, 1 Ag 3.35, 4 Pb 3.44
Si: 0.0000 0.0000 0.5443  4 Ag 2.76

11.
VASP calculation (PBE-GGA) on crystalline TlReAsSe2 at its relaxed geometry.

Results
Total magnetization ... 0.0 μB per formula unit
Energy ... -4.976 eV per atom

Lattice parameters (Å, degrees): 5.0703 5.0703 4.8121 90.00 90.00 90.00
Last column: nearest neighbours and their distance in Å.
Positions (direct):
Re: 0.0000 0.0000 0.0000  2 As 2.41, 4 Se 2.54
Tl: 0.5000 0.5000 0.5000  8 Se 3.50, 4 As 3.59
As: 0.0000 0.0000 0.5000  2 Re 2.41
Se: 0.0000 0.5000 0.0000  2 Re 2.54
Se: 0.5000 0.0000 0.0000  2 Re 2.54

12.
VASP calculation (PBE-GGA) on crystalline Na2CaSm at its relaxed geometry.

Results
Energy of formation from the pure elements ... 0.25 eV/atom
Total magnetization ... 0.0 μB per formula unit

Lattice parameters (Å, degrees): 3.5826 3.5826 13.7076 82.49 82.49 60.00
Last column: nearest neighbours and their distance in Å.
Positions (direct):
Na: 0.0856 0.0856 0.7433  1 Sm 3.48, 6 Na 3.58, 3 Ca 3.89
Na: 0.9144 0.9144 0.2567  1 Sm 3.48, 6 Na 3.58, 3 Ca 3.89
Ca: 0.5000 0.5000 0.5000  6 Ca 3.58, 6 Na 3.89
Sm: 0.0000 0.0000 0.0000  2 Na 3.48, 6 Sm 3.58